Entry 1:
{
  "formula": "Tm8Sb2Au",
  "functional": "GGA-PBE",
  "state": "relaxed",
  "lattice": [[9.3622, -2.4257, 0.0000], [9.3622, 2.4257, 0.0000], [-1.3091, 0.0000, 6.6997]],
  "species": ["Tm", "Tm", "Tm", "Tm", "Tm", "Tm", "Tm", "Tm", "Sb", "Sb", "Au"],
  "frac_coords": [[0.0125, 0.0125, 0.2671], [0.2158, 0.2158, 0.8420], [0.3474, 0.3474, 0.4749], [0.4067, 0.4067, 0.0112], [0.5933, 0.5933, 0.9888], [0.6526, 0.6526, 0.5251], [0.7842, 0.7842, 0.1580], [0.9875, 0.9875, 0.7329], [0.1812, 0.1812, 0.2738], [0.8188, 0.8188, 0.7262], [0.5000, 0.5000, 0.5000]],
  "raw_formation_energy_ev_per_fu": -5.18,
  "dos_ef_per_ev_fu": 9.811
}


Entry 2:
{
  "formula": "Tm2SbAu",
  "functional": "GGA-PBE",
  "state": "relaxed",
  "lattice": [[2.0174, -11.5535, 0.0000], [2.0174, 11.5535, 0.0000], [0.0000, 0.0000, 4.4795]],
  "species": ["Tm", "Tm", "Tm", "Tm", "Sb", "Sb", "Au", "Au"],
  "frac_coords": [[0.0609, 0.9391, 0.7500], [0.3253, 0.6747, 0.7500], [0.6747, 0.3253, 0.2500], [0.9391, 0.0609, 0.2500], [0.1916, 0.8084, 0.7500], [0.8084, 0.1916, 0.2500], [0.4573, 0.5427, 0.7500], [0.5427, 0.4573, 0.2500]],
  "raw_formation_energy_ev_per_fu": -3.55,
  "dos_ef_per_ev_fu": 3.256
}


Entry 3:
{
  "formula": "Tm6Sb3Au",
  "functional": "GGA-PBE",
  "state": "relaxed",
  "lattice": [[5.5134, -7.4954, 0.0000], [5.5134, 7.4954, 0.0000], [0.0000, 0.0000, 7.0419]],
  "species": ["Tm", "Tm", "Tm", "Tm", "Tm", "Tm", "Tm", "Tm", "Tm", "Tm", "Tm", "Tm", "Sb", "Sb", "Sb", "Sb", "Sb", "Sb", "Au", "Au"],
  "frac_coords": [[0.0115, 0.9885, 0.5000], [0.0943, 0.5545, 0.0454], [0.2479, 0.7521, 0.6031], [0.2582, 0.3721, 0.6475], [0.3721, 0.2582, 0.1475], [0.4455, 0.9057, 0.0454], [0.5545, 0.0943, 0.5454], [0.6279, 0.7418, 0.6475], [0.7418, 0.6279, 0.1475], [0.7521, 0.2479, 0.1031], [0.9057, 0.4455, 0.5454], [0.9885, 0.0115, 0.0000], [0.0758, 0.2814, 0.2823], [0.2814, 0.0758, 0.7823], [0.4255, 0.5745, 0.9600], [0.5745, 0.4255, 0.4600], [0.7186, 0.9242, 0.2823], [0.9242, 0.7186, 0.7823], [0.1595, 0.8405, 0.2381], [0.8405, 0.1595, 0.7381]],
  "raw_formation_energy_ev_per_fu": -6.46,
  "dos_ef_per_ev_fu": 7.213
}


Entry 4:
{
  "formula": "Tm4SbAu",
  "functional": "GGA-PBE",
  "state": "relaxed",
  "lattice": [[7.0885, 0.0000, 0.0000], [0.0000, 7.1506, 0.0000], [-0.0594, 0.0000, 7.1441]],
  "species": ["Tm", "Tm", "Tm", "Tm", "Tm", "Tm", "Tm", "Tm", "Sb", "Sb", "Au", "Au"],
  "frac_coords": [[0.1421, 0.1644, 0.1683], [0.1421, 0.3356, 0.6683], [0.3379, 0.6449, 0.1429], [0.3379, 0.8551, 0.6429], [0.6621, 0.1449, 0.3571], [0.6621, 0.3551, 0.8571], [0.8579, 0.6644, 0.3317], [0.8579, 0.8356, 0.8317], [0.5000, 0.0000, 0.0000], [0.5000, 0.5000, 0.5000], [0.0000, 0.0000, 0.5000], [0.0000, 0.5000, 0.0000]],
  "raw_formation_energy_ev_per_fu": -2.60,
  "dos_ef_per_ev_fu": 6.427,
  "polymorph_energy_mev_per_atom": 236
}


Entry 5:
{
  "formula": "Tm6Sb2Au",
  "functional": "GGA-PBE",
  "state": "relaxed",
  "lattice": [[6.3049, 0.0000, 0.0000], [0.0000, 7.9825, 0.0000], [-6.2680, 0.0000, 9.9543]],
  "species": ["Tm", "Tm", "Tm", "Tm", "Tm", "Tm", "Tm", "Tm", "Tm", "Tm", "Tm", "Tm", "Sb", "Sb", "Sb", "Sb", "Au", "Au"],
  "frac_coords": [[0.0738, 0.2003, 0.4520], [0.0738, 0.2997, 0.9520], [0.3215, 0.6638, 0.4547], [0.3215, 0.8362, 0.9547], [0.3781, 0.0341, 0.2344], [0.3781, 0.4659, 0.7344], [0.6219, 0.5341, 0.2656], [0.6219, 0.9659, 0.7656], [0.6785, 0.1638, 0.0453], [0.6785, 0.3362, 0.5453], [0.9262, 0.7003, 0.0480], [0.9262, 0.7997, 0.5480], [0.1431, 0.1162, 0.7416], [0.1431, 0.3838, 0.2416], [0.8569, 0.6162, 0.7584], [0.8569, 0.8838, 0.2584], [0.5000, 0.0000, 0.5000], [0.5000, 0.5000, 0.0000]],
  "raw_formation_energy_ev_per_fu": -5.42,
  "dos_ef_per_ev_fu": 9.274
}


Entry 6:
{
  "formula": "Tm2SbAu",
  "functional": "GGA-PBE",
  "state": "relaxed",
  "lattice": [[3.7612, 0.0000, 0.0000], [0.0000, 3.7612, 0.0000], [0.0000, 0.0000, 6.8962]],
  "species": ["Tm", "Tm", "Sb", "Au"],
  "frac_coords": [[0.0000, 0.0000, 0.2448], [0.0000, 0.0000, 0.7552], [0.5000, 0.5000, 0.5000], [0.5000, 0.5000, 0.0000]],
  "raw_formation_energy_ev_per_fu": -3.16,
  "dos_ef_per_ev_fu": 2.918
}


Entry 7:
{
  "formula": "USb2Au",
  "functional": "GGA-PBE",
  "state": "relaxed",
  "lattice": [[3.9708, 0.0000, 0.0000], [0.0000, 3.9708, 0.0000], [0.0000, 0.0000, 6.2437]],
  "species": ["U", "Sb", "Sb", "Au"],
  "frac_coords": [[0.0000, 0.0000, 0.0000], [0.5000, 0.5000, 0.2515], [0.5000, 0.5000, 0.7485], [0.0000, 0.0000, 0.5000]],
  "raw_formation_energy_ev_per_fu": -0.03,
  "dos_ef_per_ev_fu": 7.420,
  "polymorph_energy_mev_per_atom": 270
}


Entry 8:
{
  "formula": "U3Sb4Au3",
  "functional": "GGA-PBE",
  "state": "relaxed",
  "lattice": [[-4.9962, 4.9962, 4.9962], [4.9962, -4.9962, 4.9962], [4.9962, 4.9962, -4.9962]],
  "species": ["U", "U", "U", "U", "U", "U", "Sb", "Sb", "Sb", "Sb", "Sb", "Sb", "Sb", "Sb", "Au", "Au", "Au", "Au", "Au", "Au"],
  "frac_coords": [[0.1250, 0.7500, 0.8750], [0.2500, 0.6250, 0.3750], [0.3750, 0.2500, 0.6250], [0.6250, 0.3750, 0.2500], [0.7500, 0.8750, 0.1250], [0.8750, 0.1250, 0.7500], [0.0000, 0.3141, 0.5000], [0.0000, 0.8141, 0.5000], [0.1859, 0.1859, 0.1859], [0.3141, 0.5000, 0.0000], [0.5000, 0.0000, 0.3141], [0.5000, 0.0000, 0.8141], [0.6859, 0.6859, 0.6859], [0.8141, 0.5000, 0.0000], [0.1250, 0.8750, 0.2500], [0.2500, 0.1250, 0.8750], [0.3750, 0.6250, 0.7500], [0.6250, 0.7500, 0.3750], [0.7500, 0.3750, 0.6250], [0.8750, 0.2500, 0.1250]],
  "raw_formation_energy_ev_per_fu": -2.10,
  "dos_ef_per_ev_fu": 22.911
}


Entry 9:
{
  "formula": "U4Sb7Au6",
  "functional": "GGA-PBE",
  "state": "relaxed",
  "lattice": [[-4.6514, 4.6514, 4.6514], [4.6514, -4.6514, 4.6514], [4.6514, 4.6514, -4.6514]],
  "species": ["U", "U", "U", "U", "Sb", "Sb", "Sb", "Sb", "Sb", "Sb", "Sb", "Au", "Au", "Au", "Au", "Au", "Au"],
  "frac_coords": [[0.0000, 0.0000, 0.5000], [0.0000, 0.5000, 0.0000], [0.5000, 0.0000, 0.0000], [0.5000, 0.5000, 0.5000], [0.0000, 0.0000, 0.0000], [0.2500, 0.5000, 0.7500], [0.2500, 0.7500, 0.5000], [0.5000, 0.2500, 0.7500], [0.5000, 0.7500, 0.2500], [0.7500, 0.2500, 0.5000], [0.7500, 0.5000, 0.2500], [0.0000, 0.2991, 0.2991], [0.0000, 0.7009, 0.7009], [0.2991, 0.0000, 0.2991], [0.2991, 0.2991, 0.0000], [0.7009, 0.0000, 0.7009], [0.7009, 0.7009, 0.0000]],
  "raw_formation_energy_ev_per_fu": -2.63,
  "dos_ef_per_ev_fu": 29.117
}


Entry 10:
{
  "formula": "USb2Au4",
  "functional": "GGA-PBE",
  "state": "relaxed",
  "lattice": [[4.9718, -2.4125, 0.0000], [4.9718, 2.4125, 0.0000], [-4.5043, 0.0000, 7.4481]],
  "species": ["U", "Sb", "Sb", "Au", "Au", "Au", "Au"],
  "frac_coords": [[0.0000, 0.0000, 0.0000], [0.3274, 0.3274, 0.4000], [0.6726, 0.6726, 0.6000], [0.3248, 0.3248, 0.7397], [0.3413, 0.3413, 0.0794], [0.6587, 0.6587, 0.9206], [0.6752, 0.6752, 0.2603]],
  "raw_formation_energy_ev_per_fu": -0.20,
  "dos_ef_per_ev_fu": 9.129
}


Entry 11:
{
  "formula": "USb8Au2",
  "functional": "GGA-PBE",
  "state": "relaxed",
  "lattice": [[4.6658, -4.2868, 0.0000], [4.6658, 4.2868, 0.0000], [-0.5828, 0.0000, 8.3964]],
  "species": ["U", "Sb", "Sb", "Sb", "Sb", "Sb", "Sb", "Sb", "Sb", "Au", "Au"],
  "frac_coords": [[0.0000, 0.0000, 0.0000], [0.1227, 0.5512, 0.1647], [0.1319, 0.1319, 0.3469], [0.4488, 0.8773, 0.8353], [0.4650, 0.4650, 0.6645], [0.5350, 0.5350, 0.3355], [0.5512, 0.1227, 0.1647], [0.8681, 0.8681, 0.6531], [0.8773, 0.4488, 0.8353], [0.1737, 0.1737, 0.6758], [0.8263, 0.8263, 0.3242]],
  "raw_formation_energy_ev_per_fu": 1.00,
  "dos_ef_per_ev_fu": 8.148
}


Entry 12:
{
  "formula": "USbAu",
  "functional": "GGA-PBE",
  "state": "relaxed",
  "lattice": [[-1.9683, 1.9683, 4.6691], [1.9683, -1.9683, 4.6691], [1.9683, 1.9683, -4.6691]],
  "species": ["U", "Sb", "Au"],
  "frac_coords": [[0.0000, 0.0000, 0.0000], [0.3380, 0.3380, 0.0000], [0.6678, 0.6678, 0.0000]],
  "raw_formation_energy_ev_per_fu": -0.35,
  "dos_ef_per_ev_fu": 5.076
}